This record from the Alexandria database describes Nb2Fe2Rh at its PBEsol-relaxed geometry. The functional is SCAN.

Properties
E_form in meV/atom: 211
Raw total energy in eV/atom: -27.047
Crystal system: tetragonal

Unit cell a=3.036 b=3.036 c=15.789 alpha=90.00 beta=90.00 gamma=90.00
Space group I4/mmm (No. 139)
One atom of each set of equivalent atoms:
1 Nb 0.000 0.000 0.112 (multiplicity 4)
2 Fe 0.000 0.500 0.250 (multiplicity 4)
3 Rh 0.000 0.000 0.500 (multiplicity 2)

This record from the Alexandria database describes NbFeRu2 at its PBEsol-relaxed geometry. The functional is SCAN.

Properties
E_form in meV/atom: -242
Raw total energy in eV/atom: -30.469
Crystal system: cubic

Unit cell a=6.105 b=6.105 c=6.105 alpha=90.00 beta=90.00 gamma=90.00
Space group Fm-3m (No. 225)
One atom of each set of equivalent atoms:
1 Nb 0.000 0.000 0.000 (multiplicity 4)
2 Fe 0.000 0.000 0.500 (multiplicity 4)
3 Ru 0.250 0.250 0.250 (multiplicity 8)

This record from the Alexandria database describes NbFe3Ru at its PBEsol-relaxed geometry. The functional is SCAN.

Properties
E_form in meV/atom: 1343
Raw total energy in eV/atom: -23.126
Crystal system: cubic

Unit cell a=4.294 b=4.294 c=4.294 alpha=90.00 beta=90.00 gamma=90.00
Space group Pm-3m (No. 221)
One atom of each set of equivalent atoms:
1 Nb 0.000 0.000 0.000 (multiplicity 1)
2 Fe 0.000 0.500 0.500 (multiplicity 3)
3 Ru 0.500 0.500 0.500 (multiplicity 1)

This record from the Alexandria database describes Nb2FeRu at its PBEsol-relaxed geometry. The functional is SCAN.

Properties
E_form in meV/atom: -171
Raw total energy in eV/atom: -29.974
Crystal system: cubic

Unit cell a=6.207 b=6.207 c=6.207 alpha=90.00 beta=90.00 gamma=90.00
Space group Fm-3m (No. 225)
One atom of each set of equivalent atoms:
1 Nb 0.250 0.250 0.250 (multiplicity 8)
2 Fe 0.000 0.000 0.000 (multiplicity 4)
3 Ru 0.000 0.000 0.500 (multiplicity 4)

This record from the Alexandria database describes Nb2TlFeRu at its PBEsol-relaxed geometry. The functional is SCAN.

Properties
E_form in meV/atom: 1085
Raw total energy in eV/atom: -37.230
Crystal system: tetragonal

Unit cell a=4.438 b=4.438 c=4.720 alpha=90.00 beta=90.00 gamma=90.00
Space group P4/mmm (No. 123)
One atom of each set of equivalent atoms:
1 Nb 0.000 0.500 0.000 (multiplicity 2)
2 Tl 0.000 0.000 0.500 (multiplicity 1)
3 Fe 0.000 0.000 0.000 (multiplicity 1)
4 Ru 0.500 0.500 0.500 (multiplicity 1)

This record from the Alexandria database describes NbZn2FeRu at its PBEsol-relaxed geometry. The functional is SCAN.

Properties
E_form in meV/atom: 1738
Raw total energy in eV/atom: -20.885
Crystal system: tetragonal

Unit cell a=4.753 b=4.753 c=4.202 alpha=90.00 beta=90.00 gamma=90.00
Space group P4/mmm (No. 123)
One atom of each set of equivalent atoms:
1 Nb 0.000 0.000 0.000 (multiplicity 1)
2 Zn 0.000 0.500 0.000 (multiplicity 2)
3 Fe 0.000 0.000 0.500 (multiplicity 1)
4 Ru 0.500 0.500 0.500 (multiplicity 1)

This record from the Alexandria database describes Nb2FeS4 at its PBEsol-relaxed geometry. The functional is SCAN.

Properties
Raw total energy in eV/atom: -18.533
Uncorrected formation energy in meV/atom: -975.7
Crystal system: trigonal

Unit cell a=3.2994 b=3.2994 c=11.7127 alpha=90.00 beta=90.00 gamma=120.00
Space group P-3m1 (No. 164)
One atom of each set of equivalent atoms:
1 Nb 0.0000 0.0000 0.2410 (multiplicity 2)
2 Fe 0.0000 0.0000 0.0000 (multiplicity 1)
3 S 0.3333 0.6667 0.1014 (multiplicity 2)
4 S 0.3333 0.6667 0.3749 (multiplicity 2)

This record from the Alexandria database describes NbFeS3 at its PBEsol-relaxed geometry. The functional is SCAN.

Properties
Raw total energy in eV/atom: -16.005
Uncorrected formation energy in meV/atom: 23.2
Crystal system: cubic

Unit cell a=4.736 b=4.736 c=4.736 alpha=90.00 beta=90.00 gamma=90.00
Space group Pm-3m (No. 221)
One atom of each set of equivalent atoms:
1 Nb 0.000 0.000 0.000 (multiplicity 1)
2 Fe 0.500 0.500 0.500 (multiplicity 1)
3 S 0.000 0.000 0.500 (multiplicity 3)

This record from the Alexandria database describes NbFeS2 at its PBEsol-relaxed geometry. The functional is SCAN.

Properties
Raw total energy in eV/atom: -17.937
Uncorrected formation energy in meV/atom: -307.7
Crystal system: cubic

Unit cell a=5.957 b=5.957 c=5.957 alpha=90.00 beta=90.00 gamma=90.00
Space group Fm-3m (No. 225)
One atom of each set of equivalent atoms:
1 Nb 0.000 0.000 0.000 (multiplicity 4)
2 Fe 0.000 0.000 0.500 (multiplicity 4)
3 S 0.250 0.250 0.250 (multiplicity 8)

This record from the Alexandria database describes YNb2FeS at its PBEsol-relaxed geometry. The functional is SCAN.

Properties
Raw total energy in eV/atom: -23.927
Uncorrected formation energy in meV/atom: 445.5
Crystal system: tetragonal

Unit cell a=4.710 b=4.710 c=4.169 alpha=90.00 beta=90.00 gamma=90.00
Space group P4/mmm (No. 123)
One atom of each set of equivalent atoms:
1 Y 0.000 0.000 0.000 (multiplicity 1)
2 Nb 0.000 0.500 0.500 (multiplicity 2)
3 Fe 0.500 0.500 0.500 (multiplicity 1)
4 S 0.500 0.500 0.000 (multiplicity 1)

This record from the Alexandria database describes Zr2NbFeSb at its PBEsol-relaxed geometry. The functional is SCAN.

Properties
Raw total energy in eV/atom: -29.175
Uncorrected formation energy in meV/atom: 808.5
Crystal system: tetragonal

Unit cell a=5.096 b=5.096 c=4.324 alpha=90.00 beta=90.00 gamma=90.00
Space group P4/mmm (No. 123)
One atom of each set of equivalent atoms:
1 Zr 0.000 0.500 0.000 (multiplicity 2)
2 Nb 0.000 0.000 0.000 (multiplicity 1)
3 Fe 0.000 0.000 0.500 (multiplicity 1)
4 Sb 0.500 0.500 0.500 (multiplicity 1)

This record from the Alexandria database describes Sc3NbFe at its PBEsol-relaxed geometry. The functional is SCAN.

Properties
E_form in meV/atom: 433
Raw total energy in eV/atom: -18.361
Crystal system: cubic

Unit cell a=4.681 b=4.681 c=4.681 alpha=90.00 beta=90.00 gamma=90.00
Space group Pm-3m (No. 221)
One atom of each set of equivalent atoms:
1 Sc 0.000 0.000 0.500 (multiplicity 3)
2 Nb 0.500 0.500 0.500 (multiplicity 1)
3 Fe 0.000 0.000 0.000 (multiplicity 1)